Computed, not measured: a geometry-optimized BaNa2Li2Au structure at the GGA-PBE level of DFT.

```
BaNa2Li2Au
1.0
4.6828 0.0000 0.0000
0.0000 4.6828 0.0000
-2.3414 -2.3414 9.7968
Ba Na Li Au
1 2 2 1
Direct
0.5000 0.5000 0.0000
0.2500 0.7500 0.5000
0.7500 0.2500 0.5000
0.8705 0.8705 0.7411
0.1295 0.1295 0.2589
0.0000 0.0000 0.0000
```

E: -12.3 eV per cell
Magnetic moment: 0.0 μB/f.u.
Calculated formation energy: -0.1084 eV/atom